*i*
Entry from Alexandria: a relaxed AlAgW2O8 crystal (PBE+U).

a = 5.1565 Å, b = 5.8643 Å, c = 10.4419 Å
α = 90.00°, β = 117.02°, γ = 90.00°
Last column: nearest neighbours and their distance in Å.
Sites, in units of the cell vectors:
Al 0.0000 0.1581 0.2500  4 O 1.86-1.99
Al 0.0000 0.8419 0.7500  4 O 1.86-1.99
Ag 0.5000 0.1552 0.7500  6 O 2.22-2.40
Ag 0.5000 0.8448 0.2500  6 O 2.22-2.40
W 0.2423 0.3325 0.0000  4 O 1.85-2.04
W 0.2423 0.6675 0.5000  4 O 1.85-2.04
W 0.7577 0.3325 0.5000  4 O 1.85-2.04
W 0.7577 0.6675 0.0000  4 O 1.85-2.04
O 0.1592 0.4000 0.6108  2 W 1.90-2.11
O 0.1592 0.6000 0.1108  2 W 1.90-2.11
O 0.2037 0.1656 0.1418  1 W 1.86, 1 Al 1.86
O 0.2037 0.8344 0.6418  1 W 1.86, 1 Al 1.86
O 0.2261 0.0935 0.8809  1 W 1.85, 1 Al 1.99
O 0.2261 0.9065 0.3809  1 W 1.85, 1 Al 1.99
O 0.3198 0.3840 0.3944  2 W 2.04-2.13, 1 Al 2.12
O 0.3198 0.6160 0.8944  2 W 2.04-2.13, 1 Al 2.12
O 0.6802 0.3840 0.1056  2 W 2.04-2.13, 1 Al 2.12
O 0.6802 0.6160 0.6056  2 W 2.04-2.13, 1 Al 2.12
O 0.7739 0.0935 0.6191  1 W 1.85, 1 Al 1.99
O 0.7739 0.9065 0.1191  1 W 1.85, 1 Al 1.99
O 0.7963 0.1656 0.3582  1 W 1.86, 1 Al 1.86
O 0.7963 0.8344 0.8582  1 W 1.86, 1 Al 1.86
O 0.8408 0.4000 0.8892  2 W 1.90-2.11
O 0.8408 0.6000 0.3892  2 W 1.90-2.11

Computed properties:
- SG: P2/c (13)
- N(E_F): 0.00 states/eV per atom


*ii*
Entry from Alexandria: a relaxed AlAgW2O8 crystal (PBE+U).

a = 5.1382 Å, b = 5.6834 Å, c = 5.7177 Å
α = 110.87°, β = 110.53°, γ = 91.76°
Last column: nearest neighbours and their distance in Å.
Sites, in units of the cell vectors:
Al 0.0000 0.0000 0.0000  4 O 1.86-2.06
Ag 0.5000 0.5000 0.0000  2 O 2.03
W 0.2534 0.6869 0.5006  4 O 1.84-2.06
W 0.7466 0.3131 0.4994  4 O 1.84-2.06
O 0.1323 0.4564 0.6851  1 W 1.88, 1 Ag 2.03
O 0.2167 0.9416 0.7904  1 W 1.85, 1 Al 1.86
O 0.2268 0.8320 0.2535  1 W 1.84, 1 Al 2.06
O 0.3278 0.3159 0.2952  2 W 2.06-2.14, 1 Al 2.14
O 0.6722 0.6841 0.7048  2 W 2.06-2.14, 1 Al 2.14
O 0.7732 0.1680 0.7465  1 W 1.84, 1 Al 2.06
O 0.7833 0.0584 0.2096  1 W 1.85, 1 Al 1.86
O 0.8677 0.5436 0.3149  1 W 1.88, 1 Ag 2.03

Computed properties:
- SG: P-1 (2)
- N(E_F): 0.00 states/eV per atom


Least stable = *ii*